Here is a relaxed TiSn3Hg crystal from Alexandria via LeMat-Bulk. Energies are from GGA-PBE.

Values from the calculation:
E above lowest polymorph: 0.0 kJ/mol of atoms
Energy relative to the elements: 0.161 eV/atom
Size of the total moment: 0.0000 μB/atom
Space-group type: Pm-3m

abc: 5.337 5.337 5.337
angles: 90.00 90.00 90.00
Element x y z (fractional)
Ti1 0.000 0.000 0.000
Hg1 0.500 0.500 0.500
Sn1 0.000 0.500 0.000
Sn2 0.000 0.000 0.500
Sn3 0.500 0.000 0.000